# SmTiClO3 GGA-PBEsol relaxed
data_SmTiClO3
_chemical_formula_sum 'Sm4 Ti4 Cl4 O12'
_cell_length_a 9.745
_cell_length_b 3.932
_cell_length_c 9.969
_cell_angle_alpha 90.00
_cell_angle_beta 106.64
_cell_angle_gamma 90.00
_space_group_name_H-M_alt 'C 1 2/m 1'
_space_group_IT_number 12
_space_group_name_Hall '-C 2y'
loop_
_atom_site_label
_atom_site_fract_x
_atom_site_fract_y
_atom_site_fract_z
Sm1 0.220 0.000 0.204
Ti1 0.121 0.500 0.433
Cl1 0.113 0.000 0.903
O1 0.077 0.500 0.622
O2 0.146 0.500 0.255
O3 0.168 0.000 0.437
# Energy relative to the elements, uncorrected: -3089 meV/atom
# Crystal system: monoclinic

=====

# Y2ScMn GGA-PBEsol relaxed
data_Y2ScMn
_chemical_formula_sum 'Y2 Sc1 Mn1'
_cell_length_a 3.439
_cell_length_b 3.439
_cell_length_c 8.109
_cell_angle_alpha 90.00
_cell_angle_beta 90.00
_cell_angle_gamma 90.00
_space_group_name_H-M_alt 'P 4/m m m'
_space_group_IT_number 123
_space_group_name_Hall '-P 4 2'
loop_
_atom_site_label
_atom_site_fract_x
_atom_site_fract_y
_atom_site_fract_z
Y1 0.000 0.000 0.212
Sc1 0.500 0.500 0.500
Mn1 0.500 0.500 0.000
# ΔE_f: 204 meV per atom
# Crystal system: tetragonal
# Distance to the lowest polymorph of the same formula: 34 meV/atom

=====

# AsRu GGA-PBEsol relaxed
data_AsRu
_chemical_formula_sum 'As3 Ru3'
_cell_length_a 2.9448
_cell_length_b 2.9448
_cell_length_c 11.4383
_cell_angle_alpha 90.00
_cell_angle_beta 90.00
_cell_angle_gamma 120.00
_space_group_name_H-M_alt 'R -3 m'
_space_group_IT_number 166
_space_group_name_Hall '-R 3 2"'
loop_
_atom_site_label
_atom_site_fract_x
_atom_site_fract_y
_atom_site_fract_z
As1 0.0000 0.0000 0.0000
Ru1 0.0000 0.0000 0.5000
# ΔE_f: -54 meV per atom
# Crystal system: trigonal

=====

# MgCd2Co GGA-PBEsol relaxed
data_MgCd2Co
_chemical_formula_sum 'Mg2 Cd4 Co2'
_cell_length_a 9.786
_cell_length_b 3.561
_cell_length_c 4.334
_cell_angle_alpha 90.00
_cell_angle_beta 116.18
_cell_angle_gamma 90.00
_space_group_name_H-M_alt 'C 1 2/m 1'
_space_group_IT_number 12
_space_group_name_Hall '-C 2y'
loop_
_atom_site_label
_atom_site_fract_x
_atom_site_fract_y
_atom_site_fract_z
Mg1 0.000 0.000 0.000
Cd1 0.231 0.000 0.731
Co1 0.000 0.500 0.500
# ΔE_f: 136 meV per atom
# Crystal system: monoclinic

=====

# BaLi2Si2 GGA-PBEsol relaxed
data_BaLi2Si2
_chemical_formula_sum 'Ba2 Li4 Si4'
_cell_length_a 4.690
_cell_length_b 4.690
_cell_length_c 9.774
_cell_angle_alpha 90.00
_cell_angle_beta 90.00
_cell_angle_gamma 90.00
_space_group_name_H-M_alt 'I 4/m m m'
_space_group_IT_number 139
_space_group_name_Hall '-I 4 2'
loop_
_atom_site_label
_atom_site_fract_x
_atom_site_fract_y
_atom_site_fract_z
Ba1 0.000 0.000 0.000
Li1 0.000 0.500 0.250
Si1 0.000 0.000 0.384
# Energy relative to the elements, uncorrected: -310 meV/atom
# Crystal system: tetragonal

=====

# SbAsPt2 GGA-PBEsol relaxed
data_SbAsPt2
_chemical_formula_sum 'Sb2 As2 Pt4'
_cell_length_a 4.562
_cell_length_b 4.562
_cell_length_c 6.734
_cell_angle_alpha 90.00
_cell_angle_beta 90.00
_cell_angle_gamma 90.00
_space_group_name_H-M_alt 'I 4/m m m'
_space_group_IT_number 139
_space_group_name_Hall '-I 4 2'
loop_
_atom_site_label
_atom_site_fract_x
_atom_site_fract_y
_atom_site_fract_z
Sb1 0.000 0.000 0.000
As1 0.000 0.000 0.500
Pt1 0.000 0.500 0.250
# Energy relative to the elements, uncorrected: -53 meV/atom
# Crystal system: tetragonal
# Distance to the lowest polymorph of the same formula: 258 meV/atom

=====

# CuW2I GGA-PBEsol relaxed
data_CuW2I
_chemical_formula_sum 'Cu4 W8 I4'
_cell_length_a 6.320
_cell_length_b 6.320
_cell_length_c 6.320
_cell_angle_alpha 90.00
_cell_angle_beta 90.00
_cell_angle_gamma 90.00
_space_group_name_H-M_alt 'F m -3 m'
_space_group_IT_number 225
_space_group_name_Hall '-F 4 2 3'
loop_
_atom_site_label
_atom_site_fract_x
_atom_site_fract_y
_atom_site_fract_z
Cu1 0.000 0.000 0.000
W1 0.250 0.250 0.250
I1 0.000 0.000 0.500
# Energy relative to the elements, uncorrected: 1164 meV/atom
# Crystal system: cubic

=====

# Sc3Ir2 GGA-PBEsol relaxed
data_Sc3Ir2
_chemical_formula_sum 'Sc9 Ir6'
_cell_length_a 4.4674
_cell_length_b 4.4674
_cell_length_c 15.0302
_cell_angle_alpha 90.00
_cell_angle_beta 90.00
_cell_angle_gamma 120.00
_space_group_name_H-M_alt 'R -3 m'
_space_group_IT_number 166
_space_group_name_Hall '-R 3 2"'
loop_
_atom_site_label
_atom_site_fract_x
_atom_site_fract_y
_atom_site_fract_z
Sc1 0.0000 0.0000 0.0000
Sc2 0.0000 0.0000 0.2135
Ir1 0.0000 0.0000 0.3979
# ΔE_f: -787 meV per atom
# Crystal system: trigonal
# Distance to the lowest polymorph of the same formula: 37 meV/atom

=====

# Cs2NaRuF6 GGA-PBEsol relaxed
data_Cs2NaRuF6
_chemical_formula_sum 'Cs8 Na4 Ru4 F24'
_cell_length_a 8.694
_cell_length_b 8.694
_cell_length_c 8.694
_cell_angle_alpha 90.00
_cell_angle_beta 90.00
_cell_angle_gamma 90.00
_space_group_name_H-M_alt 'F m -3 m'
_space_group_IT_number 225
_space_group_name_Hall '-F 4 2 3'
loop_
_atom_site_label
_atom_site_fract_x
_atom_site_fract_y
_atom_site_fract_z
Cs1 0.250 0.250 0.250
Na1 0.000 0.000 0.000
Ru1 0.000 0.000 0.500
F1 0.000 0.000 0.269
# Energy relative to the elements, uncorrected: -2382 meV/atom
# Crystal system: cubic

=====

# TlSiAu2 GGA-PBEsol relaxed
data_TlSiAu2
_chemical_formula_sum 'Tl2 Si2 Au4'
_cell_length_a 4.462
_cell_length_b 4.474
_cell_length_c 7.688
_cell_angle_alpha 90.00
_cell_angle_beta 90.00
_cell_angle_gamma 90.00
_space_group_name_H-M_alt 'C m m m'
_space_group_IT_number 65
_space_group_name_Hall '-C 2 2'
loop_
_atom_site_label
_atom_site_fract_x
_atom_site_fract_y
_atom_site_fract_z
Tl1 0.000 0.000 0.000
Si1 0.000 0.000 0.500
Au1 0.000 0.500 0.304
# Energy relative to the elements, uncorrected: 137 meV/atom
# Crystal system: orthorhombic
# Distance to the lowest polymorph of the same formula: 93 meV/atom

=====

# FeIr2 GGA-PBEsol relaxed
data_FeIr2
_chemical_formula_sum 'Fe1 Ir2'
_cell_length_a 4.2722
_cell_length_b 4.2722
_cell_length_c 2.6258
_cell_angle_alpha 90.00
_cell_angle_beta 90.00
_cell_angle_gamma 120.00
_space_group_name_H-M_alt 'P 6/m m m'
_space_group_IT_number 191
_space_group_name_Hall '-P 6 2'
loop_
_atom_site_label
_atom_site_fract_x
_atom_site_fract_y
_atom_site_fract_z
Fe1 0.0000 0.0000 0.0000
Ir1 0.3333 0.6667 0.5000
# ΔE_f: 245 meV per atom
# Crystal system: hexagonal

=====

# FeH12PtCl6O6 GGA-PBEsol relaxed
data_FeH12PtCl6O6
_chemical_formula_sum 'Fe3 H36 Pt3 Cl18 O18'
_cell_length_a 10.3123
_cell_length_b 10.3123
_cell_length_c 10.2854
_cell_angle_alpha 90.00
_cell_angle_beta 90.00
_cell_angle_gamma 120.00
_space_group_name_H-M_alt 'R -3'
_space_group_IT_number 148
_space_group_name_Hall '-R 3'
loop_
_atom_site_label
_atom_site_fract_x
_atom_site_fract_y
_atom_site_fract_z
Fe1 0.0000 0.0000 0.0000
H1 0.0337 0.1686 0.8047
H2 0.0770 0.5759 0.7618
Pt1 0.0000 0.0000 0.5000
Cl1 0.0553 0.8469 0.6310
O1 0.0012 0.1569 0.8976
# Crystal system: trigonal

=====

Respective Fermi-level density of states values: 0.0000; 1.4103; 0.6934; 0.7553; 0.4735; 0.4173; 0.8047; 0.6590; 1.0704; 0.3787; 1.2879; 0.3319 states/eV/atom.
Respective total magnetization values: 0.000; 0.891; 0.000; 0.166; 0.000; 0.000; 0.000; 0.000; 0.100; 0.000; 0.984; 0.004 μB/atom.
Respective raw total energy values: -198.81; -29.19; -46.16; -22.61; -38.25; -47.61; -116.24; -130.19; -195.35; -31.35; -27.88; -366.60 eV/cell.